{"formula": "Si2AsIr", "functional": "PBEsol", "state": "optimized geometry", "lattice_angstrom": [[3.812, -1.509, 0.000], [3.812, 1.509, 0.000], [-2.295, 0.000, 5.611]], "species": ["Si", "Si", "As", "Ir"], "fractional_positions": [[0.000, 0.000, 0.000], [0.225, 0.225, 0.817], [0.662, 0.662, 0.374], [0.455, 0.455, 0.618]], "e_form_raw_ev_per_atom": -0.0309, "spacegroup": "Cm (8)", "final_energy_ev_per_atom": -6.637}

---

{"formula": "Sr2TcCF", "functional": "PBEsol", "state": "optimized geometry", "lattice_angstrom": [[5.563, 0.000, 0.000], [0.000, 5.563, 0.000], [0.000, 0.000, 4.001]], "species": ["Sr", "Sr", "Tc", "C", "F"], "fractional_positions": [[0.000, 0.500, 0.000], [0.500, 0.000, 0.000], [0.000, 0.000, 0.000], [0.500, 0.500, 0.500], [0.000, 0.000, 0.500]], "e_form_raw_ev_per_atom": 0.9434, "spacegroup": "P4/mmm (123)", "final_energy_ev_per_atom": -4.360}

---

{"formula": "LaY3F", "functional": "PBEsol", "state": "optimized geometry", "lattice_angstrom": [[5.603, 0.000, 0.000], [0.000, 5.603, 0.000], [0.000, 0.000, 5.603]], "species": ["La", "Y", "Y", "Y", "F"], "fractional_positions": [[0.000, 0.000, 0.000], [0.000, 0.000, 0.500], [0.000, 0.500, 0.000], [0.500, 0.000, 0.000], [0.500, 0.500, 0.500]], "e_form_raw_ev_per_atom": 0.6490, "spacegroup": "Pm-3m (221)", "final_energy_ev_per_atom": -4.899}